[1]
The following is a PBE calculation of crystalline CsNa8Tl4 at its relaxed geometry, from the Alexandria database.

## Properties
The energy of formation comes out at -85 meV per atom. The value obtained for the final energy is -0.0621 Ha/atom.

Structure (CIF):
```
data_CsNa8Tl4
_chemical_formula_sum 'Cs2 Na16 Tl8'
_symmetry_space_group_name_H-M 'I 4/m m m'
_symmetry_Int_Tables_number 139
_symmetry_space_group_name_Hall '-I 4 2'
_cell_length_a 11.572
_cell_length_b 11.572
_cell_length_c 6.694
_cell_angle_alpha 90.00
_cell_angle_beta 90.00
_cell_angle_gamma 90.00
loop_
_atom_site_label
_atom_site_type_symbol
_atom_site_fract_x
_atom_site_fract_y
_atom_site_fract_z
_atom_site_occupancy
Cs1 Cs 0.000 0.000 0.000 1
Na1 Na 0.000 0.229 0.500 1
Na2 Na 0.000 0.343 0.000 1
Tl1 Tl 0.250 0.250 0.250 1
```

---

[2]
The following is a PBE calculation of crystalline Cs2NaTl at its relaxed geometry, from the Alexandria database.

## Properties
The calculation puts the energy above the most stable polymorph in this dataset at 0.000 eV per atom. The energy of formation comes out at 14 meV per atom. The value obtained for the final energy is -0.0490 Ha/atom.

Structure (CIF):
```
data_Cs2NaTl
_chemical_formula_sum 'Cs4 Na2 Tl2'
_symmetry_space_group_name_H-M 'I m m 2'
_symmetry_Int_Tables_number 44
_cell_length_a 5.027
_cell_length_b 11.989
_cell_length_c 8.228
_cell_angle_alpha 90.00
_cell_angle_beta 90.00
_cell_angle_gamma 90.00
loop_
_symmetry_equiv_pos_as_xyz
'x,y,z'
'-x,-y,z'
'-x,y,z'
'x,-y,z'
'x+1/2,y+1/2,z+1/2'
'-x+1/2,-y+1/2,z+1/2'
'-x+1/2,y+1/2,z+1/2'
'x+1/2,-y+1/2,z+1/2'
loop_
_atom_site_label
_atom_site_type_symbol
_atom_site_fract_x
_atom_site_fract_y
_atom_site_fract_z
_atom_site_occupancy
Cs1 Cs 0.000 0.192 0.000 1
Na1 Na 0.000 0.000 0.516 1
Tl1 Tl 0.000 0.500 0.770 1
```

---

[3]
The following is a PBE calculation of crystalline Cs4Na3Tl2 at its relaxed geometry, from the Alexandria database.

## Properties
The energy of formation comes out at -39 meV per atom. The value obtained for the final energy is -0.0509 Ha/atom.

Structure (CIF):
```
data_Cs4Na3Tl2
_chemical_formula_sum 'Cs8 Na6 Tl4'
_symmetry_space_group_name_H-M 'C 1 2/m 1'
_symmetry_Int_Tables_number 12
_cell_length_a 20.388
_cell_length_b 5.470
_cell_length_c 9.987
_cell_angle_alpha 90.00
_cell_angle_beta 107.12
_cell_angle_gamma 90.00
loop_
_symmetry_equiv_pos_as_xyz
'x,y,z'
'-x,-y,-z'
'-x,y,-z'
'x,-y,z'
'x+1/2,y+1/2,z'
'-x+1/2,-y+1/2,-z'
'-x+1/2,y+1/2,-z'
'x+1/2,-y+1/2,z'
loop_
_atom_site_label
_atom_site_type_symbol
_atom_site_fract_x
_atom_site_fract_y
_atom_site_fract_z
_atom_site_occupancy
Cs1 Cs 0.085 0.000 0.374 1
Cs2 Cs 0.232 0.500 0.173 1
Na1 Na 0.000 0.500 0.000 1
Na2 Na 0.091 0.500 0.758 1
Tl1 Tl 0.082 0.000 0.957 1
```

---

[4]
The following is a PBE calculation of crystalline CsNa4Tl8 at its relaxed geometry, from the Alexandria database.

## Properties
The energy of formation comes out at -70 meV per atom. The value obtained for the final energy is -0.0734 Ha/atom.

Structure (CIF):
```
data_CsNa4Tl8
_chemical_formula_sum 'Cs2 Na8 Tl16'
_symmetry_space_group_name_H-M 'I 4/m m m'
_symmetry_Int_Tables_number 139
_symmetry_space_group_name_Hall '-I 4 2'
_cell_length_a 11.532
_cell_length_b 11.532
_cell_length_c 6.182
_cell_angle_alpha 90.00
_cell_angle_beta 90.00
_cell_angle_gamma 90.00
loop_
_atom_site_label
_atom_site_type_symbol
_atom_site_fract_x
_atom_site_fract_y
_atom_site_fract_z
_atom_site_occupancy
Cs1 Cs 0.000 0.000 0.000 1
Na1 Na 0.250 0.250 0.250 1
Tl1 Tl 0.000 0.230 0.500 1
Tl2 Tl 0.000 0.360 0.000 1
```

---

[5]
The following is a PBE calculation of crystalline Cs5Na2Tl at its relaxed geometry, from the Alexandria database.

## Properties
The energy of formation comes out at 6 meV per atom. The value obtained for the final energy is -0.0424 Ha/atom.

Structure (CIF):
```
data_Cs5Na2Tl
_chemical_formula_sum 'Cs20 Na8 Tl4'
_symmetry_space_group_name_H-M 'C m c m'
_symmetry_Int_Tables_number 63
_symmetry_space_group_name_Hall '-C 2c 2'
_cell_length_a 5.312
_cell_length_b 16.431
_cell_length_c 27.920
_cell_angle_alpha 90.00
_cell_angle_beta 90.00
_cell_angle_gamma 90.00
loop_
_atom_site_label
_atom_site_type_symbol
_atom_site_fract_x
_atom_site_fract_y
_atom_site_fract_z
_atom_site_occupancy
Cs1 Cs 0.000 0.019 0.250 1
Cs2 Cs 0.000 0.137 0.052 1
Cs3 Cs 0.000 0.401 0.122 1
Na1 Na 0.000 0.280 0.687 1
Tl1 Tl 0.000 0.289 0.250 1
```

---

[6]
The following is a PBE calculation of crystalline Cs3Na6Tl at its relaxed geometry, from the Alexandria database.

## Properties
The energy of formation comes out at 18 meV per atom. The value obtained for the final energy is -0.0465 Ha/atom.

Structure (CIF):
```
data_Cs3Na6Tl
_chemical_formula_sum 'Cs18 Na36 Tl6'
_symmetry_space_group_name_H-M 'R -3 m'
_symmetry_Int_Tables_number 166
_symmetry_space_group_name_Hall '-R 3 2"'
_cell_length_a 13.8109
_cell_length_b 13.8109
_cell_length_c 20.2692
_cell_angle_alpha 90.00
_cell_angle_beta 90.00
_cell_angle_gamma 120.00
loop_
_atom_site_label
_atom_site_type_symbol
_atom_site_fract_x
_atom_site_fract_y
_atom_site_fract_z
_atom_site_occupancy
Cs1 Cs 0.0752 0.5376 0.3732 1
Na1 Na 0.0794 0.5397 0.1144 1
Na2 Na 0.0883 0.1765 0.1172 1
Tl1 Tl 0.0000 0.0000 0.0000 1
Tl2 Tl 0.0000 0.0000 0.5000 1
```

---

[7]
The following is a PBE calculation of crystalline Cs5Na6Tl at its relaxed geometry, from the Alexandria database.

## Properties
The energy of formation comes out at 30 meV per atom. The value obtained for the final energy is -0.0434 Ha/atom.

Structure (CIF):
```
data_Cs5Na6Tl
_chemical_formula_sum 'Cs10 Na12 Tl2'
_symmetry_space_group_name_H-M 'C 1 2/m 1'
_symmetry_Int_Tables_number 12
_cell_length_a 8.574
_cell_length_b 19.389
_cell_length_c 10.246
_cell_angle_alpha 90.00
_cell_angle_beta 111.80
_cell_angle_gamma 90.00
loop_
_symmetry_equiv_pos_as_xyz
'x,y,z'
'-x,-y,-z'
'-x,y,-z'
'x,-y,z'
'x+1/2,y+1/2,z'
'-x+1/2,-y+1/2,-z'
'-x+1/2,y+1/2,-z'
'x+1/2,-y+1/2,z'
loop_
_atom_site_label
_atom_site_type_symbol
_atom_site_fract_x
_atom_site_fract_y
_atom_site_fract_z
_atom_site_occupancy
Cs1 Cs 0.000 0.000 0.000 1
Cs2 Cs 0.000 0.298 0.000 1
Cs3 Cs 0.000 0.368 0.500 1
Na1 Na 0.037 0.143 0.677 1
Na2 Na 0.153 0.500 0.204 1
Tl1 Tl 0.000 0.000 0.500 1
```

---

[8]
The following is a PBE calculation of crystalline CsNa3Tl at its relaxed geometry, from the Alexandria database.

## Properties
The calculation puts the energy above the most stable polymorph in this dataset at 0.017 eV per atom. The energy of formation comes out at -11 meV per atom. The value obtained for the final energy is -0.0532 Ha/atom.

Structure (CIF):
```
data_CsNa3Tl
_chemical_formula_sum 'Cs1 Na3 Tl1'
_symmetry_space_group_name_H-M 'P m -3 m'
_symmetry_Int_Tables_number 221
_symmetry_space_group_name_Hall '-P 4 2 3'
_cell_length_a 6.206
_cell_length_b 6.206
_cell_length_c 6.206
_cell_angle_alpha 90.00
_cell_angle_beta 90.00
_cell_angle_gamma 90.00
loop_
_atom_site_label
_atom_site_type_symbol
_atom_site_fract_x
_atom_site_fract_y
_atom_site_fract_z
_atom_site_occupancy
Cs1 Cs 0.000 0.000 0.000 1
Na1 Na 0.000 0.500 0.500 1
Tl1 Tl 0.500 0.500 0.500 1
```

---

[9]
The following is a PBE calculation of crystalline Cs2NaTl at its relaxed geometry, from the Alexandria database.

## Properties
The calculation puts the energy above the most stable polymorph in this dataset at 0.118 eV per atom. The energy of formation comes out at 132 meV per atom. The value obtained for the final energy is -0.0447 Ha/atom.

Structure (CIF):
```
data_Cs2NaTl
_chemical_formula_sum 'Cs8 Na4 Tl4'
_symmetry_space_group_name_H-M 'I -4 2 d'
_symmetry_Int_Tables_number 122
_symmetry_space_group_name_Hall 'I -4 2bw'
_cell_length_a 11.038
_cell_length_b 11.038
_cell_length_c 7.978
_cell_angle_alpha 90.00
_cell_angle_beta 90.00
_cell_angle_gamma 90.00
loop_
_atom_site_label
_atom_site_type_symbol
_atom_site_fract_x
_atom_site_fract_y
_atom_site_fract_z
_atom_site_occupancy
Cs1 Cs 0.230 0.250 0.125 1
Na1 Na 0.000 0.000 0.500 1
Tl1 Tl 0.000 0.000 0.000 1
```

---

[10]
The following is a PBE calculation of crystalline CsNa2Tl at its relaxed geometry, from the Alexandria database.

## Properties
The calculation puts the energy above the most stable polymorph in this dataset at 0.038 eV per atom. The energy of formation comes out at -5 meV per atom. The value obtained for the final energy is -0.0540 Ha/atom.

Structure (CIF):
```
data_CsNa2Tl
_chemical_formula_sum 'Cs1 Na2 Tl1'
_symmetry_space_group_name_H-M 'P 4/m m m'
_symmetry_Int_Tables_number 123
_symmetry_space_group_name_Hall '-P 4 2'
_cell_length_a 4.335
_cell_length_b 4.335
_cell_length_c 9.301
_cell_angle_alpha 90.00
_cell_angle_beta 90.00
_cell_angle_gamma 90.00
loop_
_atom_site_label
_atom_site_type_symbol
_atom_site_fract_x
_atom_site_fract_y
_atom_site_fract_z
_atom_site_occupancy
Cs1 Cs 0.000 0.000 0.000 1
Na1 Na 0.500 0.500 0.330 1
Tl1 Tl 0.000 0.000 0.500 1
```

---

[11]
The following is a PBE calculation of crystalline CsNaTl at its relaxed geometry, from the Alexandria database.

## Properties
The calculation puts the energy above the most stable polymorph in this dataset at 0.095 eV per atom. The energy of formation comes out at 46 meV per atom. The value obtained for the final energy is -0.0539 Ha/atom.

Structure (CIF):
```
data_CsNaTl
_chemical_formula_sum 'Cs4 Na4 Tl4'
_symmetry_space_group_name_H-M 'C m c m'
_symmetry_Int_Tables_number 63
_symmetry_space_group_name_Hall '-C 2c 2'
_cell_length_a 6.945
_cell_length_b 12.237
_cell_length_c 6.331
_cell_angle_alpha 90.00
_cell_angle_beta 90.00
_cell_angle_gamma 90.00
loop_
_atom_site_label
_atom_site_type_symbol
_atom_site_fract_x
_atom_site_fract_y
_atom_site_fract_z
_atom_site_occupancy
Cs1 Cs 0.000 0.094 0.250 1
Na1 Na 0.000 0.409 0.250 1
Tl1 Tl 0.000 0.286 0.750 1
```

---

[12]
The following is a PBE calculation of crystalline CsNa2Tl at its relaxed geometry, from the Alexandria database.

## Properties
The calculation puts the energy above the most stable polymorph in this dataset at 0.118 eV per atom. The energy of formation comes out at 75 meV per atom. The value obtained for the final energy is -0.0511 Ha/atom.

Structure (CIF):
```
data_CsNa2Tl
_chemical_formula_sum 'Cs1 Na2 Tl1'
_symmetry_space_group_name_H-M 'P 4/m m m'
_symmetry_Int_Tables_number 123
_symmetry_space_group_name_Hall '-P 4 2'
_cell_length_a 5.881
_cell_length_b 5.881
_cell_length_c 5.077
_cell_angle_alpha 90.00
_cell_angle_beta 90.00
_cell_angle_gamma 90.00
loop_
_atom_site_label
_atom_site_type_symbol
_atom_site_fract_x
_atom_site_fract_y
_atom_site_fract_z
_atom_site_occupancy
Cs1 Cs 0.000 0.000 0.000 1
Na1 Na 0.000 0.500 0.500 1
Tl1 Tl 0.500 0.500 0.000 1
```